A relaxed ReGeAs crystal. Source: OQMD via LeMat-Bulk, functional GGA-PBE.

## Properties
Distance to the lowest polymorph of the same formula = 0.000 eV per formula unit
Final energy = -21.82 eV per formula unit
Magnetic moment = 0.0 μB per formula unit

Cell lengths 4.8179, 4.8179, 7.7315 Å; angles 117.41, 117.41, 39.07 degrees
Last column: nearest neighbours and their distance in Å.
Sites, in units of the cell vectors:
1 Re 0.0000 0.0000 0.0000  5 Ge 2.57-2.64, 3 As 2.59-2.68
2 Re 0.6926 0.6926 0.5968  5 As 2.52-2.70, 3 Ge 2.61-2.78
3 Ge 0.2489 0.2489 0.9161  5 Re 2.60-2.78, 2 As 2.90
4 Ge 0.7062 0.7062 0.2673  1 As 2.43, 3 Re 2.57-2.61
5 As 0.4477 0.4477 0.6989  5 Re 2.61-2.70, 2 Ge 2.90
6 As 0.9967 0.9967 0.3337  1 Ge 2.43, 3 Re 2.52-2.59

A relaxed NpSiHg crystal. Source: OQMD via LeMat-Bulk, functional GGA-PBE.

## Properties
Distance to the lowest polymorph of the same formula = 0.000 eV per formula unit
Final energy = -17.88 eV per formula unit
Magnetic moment = 5.0 μB per formula unit

Cell lengths 4.6774, 4.6774, 4.6774 Å; angles 60.00, 60.00, 60.00 degrees
Last column: nearest neighbours and their distance in Å.
Sites, in units of the cell vectors:
1 Np 0.0000 0.0000 0.0000  4 Si 2.86
2 Si 0.7500 0.7500 0.7500  4 Hg 2.86, 4 Np 2.86
3 Hg 0.5000 0.5000 0.5000  4 Si 2.86

A relaxed In2FeBi crystal. Source: OQMD via LeMat-Bulk, functional GGA-PBE.

## Properties
Final energy = -15.78 eV per formula unit
Magnetic moment = 2.7 μB per formula unit

Cell lengths 5.0192, 5.0192, 5.0192 Å; angles 60.00, 60.00, 60.00 degrees
Last column: nearest neighbours and their distance in Å.
Sites, in units of the cell vectors:
1 In 0.0000 0.0000 0.0000  4 In 3.07, 4 Bi 3.07
2 In 0.2500 0.2500 0.2500  4 Fe 3.07, 4 In 3.07
3 Fe 0.5000 0.5000 0.5000  4 Bi 3.07, 4 In 3.07
4 Bi 0.7500 0.7500 0.7500  4 Fe 3.07, 4 In 3.07

A relaxed Rb2TmSnSb2 crystal. Source: OQMD via LeMat-Bulk, functional GGA-PBE.

## Properties
Final energy = -20.43 eV per formula unit
Magnetic moment = 0.9 μB per formula unit

Cell lengths 4.5796, 4.5796, 14.3647 Å; angles 90.00, 90.00, 120.00 degrees
Last column: nearest neighbours and their distance in Å.
Sites, in units of the cell vectors:
1 Rb 0.0000 0.0000 0.0000  3 Sb 3.72, 3 Sn 3.88
2 Rb 0.3333 0.6667 0.5280  3 Sb 3.67
3 Tm 0.6667 0.3333 0.2691  3 Sb 2.93
4 Sn 0.6667 0.3333 0.8023  3 Sb 2.99
5 Sb 0.0000 0.0000 0.7054  3 Sn 2.99
6 Sb 0.3333 0.6667 0.1819  3 Tm 2.93

A relaxed Ac3PrBe6 crystal. Source: OQMD via LeMat-Bulk, functional GGA-PBE.

## Properties
Final energy = -30.57 eV per formula unit
Magnetic moment = 1.0 μB per formula unit

Cell lengths 7.5789, 7.5789, 7.5789 Å; angles 126.42, 126.42, 79.21 degrees
Last column: nearest neighbours and their distance in Å.
Sites, in units of the cell vectors:
1 Ac 0.0000 0.0000 0.0000  2 Be 3.16
2 Ac 0.2500 0.7500 0.5000  8 Be 3.08-3.42
3 Ac 0.7500 0.2500 0.5000  8 Be 3.08-3.42
4 Pr 0.5000 0.5000 0.0000  6 Be 2.45-2.68
5 Be 0.1420 0.5000 0.6420  1 Be 1.94
6 Be 0.2704 0.2704 0.0000  1 Pr 2.68
7 Be 0.5000 0.1420 0.6420  1 Be 1.94
8 Be 0.5000 0.8580 0.3580  1 Be 1.94
9 Be 0.7296 0.7296 0.0000  1 Pr 2.68
10 Be 0.8580 0.5000 0.3580  1 Be 1.94

A relaxed KGdHg crystal. Source: OQMD via LeMat-Bulk, functional GGA-PBE.

## Properties
Final energy = -3.89 eV per formula unit
Magnetic moment = 0.2 μB per formula unit

Cell lengths 5.2695, 5.2695, 5.2695 Å; angles 60.00, 60.00, 60.00 degrees
Last column: nearest neighbours and their distance in Å.
Sites, in units of the cell vectors:
1 K 0.0000 0.0000 0.0000  4 Gd 3.23, 4 Hg 3.23
2 Gd 0.7500 0.7500 0.7500  4 K 3.23
3 Hg 0.2500 0.2500 0.2500  4 K 3.23

Repeat the second record exactly.
A relaxed NpSiHg crystal. Source: OQMD via LeMat-Bulk, functional GGA-PBE.

## Properties
Distance to the lowest polymorph of the same formula = 0.000 eV per formula unit
Final energy = -17.88 eV per formula unit
Magnetic moment = 5.0 μB per formula unit

Cell lengths 4.6774, 4.6774, 4.6774 Å; angles 60.00, 60.00, 60.00 degrees
Last column: nearest neighbours and their distance in Å.
Sites, in units of the cell vectors:
1 Np 0.0000 0.0000 0.0000  4 Si 2.86
2 Si 0.7500 0.7500 0.7500  4 Hg 2.86, 4 Np 2.86
3 Hg 0.5000 0.5000 0.5000  4 Si 2.86

What did the fifth record say?
A relaxed Ac3PrBe6 crystal. Source: OQMD via LeMat-Bulk, functional GGA-PBE.

## Properties
Final energy = -30.57 eV per formula unit
Magnetic moment = 1.0 μB per formula unit

Cell lengths 7.5789, 7.5789, 7.5789 Å; angles 126.42, 126.42, 79.21 degrees
Last column: nearest neighbours and their distance in Å.
Sites, in units of the cell vectors:
1 Ac 0.0000 0.0000 0.0000  2 Be 3.16
2 Ac 0.2500 0.7500 0.5000  8 Be 3.08-3.42
3 Ac 0.7500 0.2500 0.5000  8 Be 3.08-3.42
4 Pr 0.5000 0.5000 0.0000  6 Be 2.45-2.68
5 Be 0.1420 0.5000 0.6420  1 Be 1.94
6 Be 0.2704 0.2704 0.0000  1 Pr 2.68
7 Be 0.5000 0.1420 0.6420  1 Be 1.94
8 Be 0.5000 0.8580 0.3580  1 Be 1.94
9 Be 0.7296 0.7296 0.0000  1 Pr 2.68
10 Be 0.8580 0.5000 0.3580  1 Be 1.94

> The lowest magnetic moment belongs to which entry?

ReGeAs

> Among the records above, which one has the highest magnetic moment?

NpSiHg